No. 1
Material: Gd2Nb2SiGe
Method: DFT, GGA-PBE
State: optimized geometry

Cell and atoms, written as CIF:
```
data_Gd2Nb2SiGe
_chemical_formula_sum 'Gd2 Nb2 Si1 Ge1'
_space_group_name_H-M_alt 'P 4 m m'
_space_group_IT_number 99
_cell_length_a 4.0302
_cell_length_b 4.0302
_cell_length_c 7.9177
_cell_angle_alpha 90.00
_cell_angle_beta 90.00
_cell_angle_gamma 90.00
loop_
_space_group_symop_operation_xyz
'x,y,z'
'-y,x,z'
'-x,-y,z'
'y,-x,z'
'-x,y,z'
'y,x,z'
'x,-y,z'
'-y,-x,z'
loop_
_atom_site_label
_atom_site_fract_x
_atom_site_fract_y
_atom_site_fract_z
Gd1 0.0000 0.0000 0.0000
Gd2 0.5000 0.5000 0.2937
Nb1 0.0000 0.5000 0.6428
Si1 0.0000 0.0000 0.4086
Ge1 0.5000 0.5000 0.8872
```

Output
Uncorrected energy (eV/atom): -7.218
Theoretical density (g cm⁻³): 7.8

No. 2
Material: GdTmNb2Ge2
Method: DFT, GGA-PBE
State: optimized geometry

Cell and atoms, written as CIF:
```
data_GdTmNb2Ge2
_chemical_formula_sum 'Gd1 Tm1 Nb2 Ge2'
_space_group_name_H-M_alt 'P 4 m m'
_space_group_IT_number 99
_cell_length_a 4.0277
_cell_length_b 4.0277
_cell_length_c 7.8536
_cell_angle_alpha 90.00
_cell_angle_beta 90.00
_cell_angle_gamma 90.00
loop_
_space_group_symop_operation_xyz
'x,y,z'
'-y,x,z'
'-x,-y,z'
'y,-x,z'
'-x,y,z'
'y,x,z'
'x,-y,z'
'-y,-x,z'
loop_
_atom_site_label
_atom_site_fract_x
_atom_site_fract_y
_atom_site_fract_z
Gd1 0.0000 0.0000 0.0000
Tm1 0.5000 0.5000 0.2951
Nb1 0.0000 0.5000 0.6431
Ge1 0.0000 0.0000 0.3968
Ge2 0.5000 0.5000 0.8895
```

Output
Uncorrected energy (eV/atom): -7.062
Theoretical density (g cm⁻³): 8.6

No. 3
Material: GdYNb2Ge2
Method: DFT, GGA-PBE
State: optimized geometry

Cell and atoms, written as CIF:
```
data_GdYNb2Ge2
_chemical_formula_sum 'Gd1 Y1 Nb2 Ge2'
_space_group_name_H-M_alt 'P 4 m m'
_space_group_IT_number 99
_cell_length_a 4.0375
_cell_length_b 4.0375
_cell_length_c 7.9113
_cell_angle_alpha 90.00
_cell_angle_beta 90.00
_cell_angle_gamma 90.00
loop_
_space_group_symop_operation_xyz
'x,y,z'
'-y,x,z'
'-x,-y,z'
'y,-x,z'
'-x,y,z'
'y,x,z'
'x,-y,z'
'-y,-x,z'
loop_
_atom_site_label
_atom_site_fract_x
_atom_site_fract_y
_atom_site_fract_z
Gd1 0.0000 0.0000 0.0000
Y1 0.5000 0.5000 0.2953
Nb1 0.0000 0.5000 0.6467
Ge1 0.0000 0.0000 0.4028
Ge2 0.5000 0.5000 0.8907
```

Output
Uncorrected energy (eV/atom): -7.406
Theoretical density (g cm⁻³): 7.4

No. 4
Material: NdGd2Ge7
Method: DFT, GGA-PBE
State: optimized geometry

Cell and atoms, written as CIF:
```
data_NdGd2Ge7
_chemical_formula_sum 'Nd2 Gd4 Ge14'
_space_group_name_H-M_alt 'C m m m'
_space_group_IT_number 65
_space_group_name_Hall '-C 2 2'
_cell_length_a 4.0384
_cell_length_b 25.5829
_cell_length_c 4.1749
_cell_angle_alpha 90.00
_cell_angle_beta 90.00
_cell_angle_gamma 90.00
loop_
_atom_site_label
_atom_site_fract_x
_atom_site_fract_y
_atom_site_fract_z
Nd1 0.0000 0.0000 0.0000
Gd1 0.0000 0.3142 0.5000
Ge1 0.0000 0.0939 0.5000
Ge2 0.0000 0.2174 0.0000
Ge3 0.0000 0.4040 0.0000
Ge4 0.0000 0.5000 0.5000
```

Output
Uncorrected energy (eV/atom): -5.167
Theoretical density (g cm⁻³): 7.4

No. 5
Material: Nd2GdGe7
Method: DFT, GGA-PBE
State: optimized geometry

Cell and atoms, written as CIF:
```
data_Nd2GdGe7
_chemical_formula_sum 'Nd4 Gd2 Ge14'
_space_group_name_H-M_alt 'C m m m'
_space_group_IT_number 65
_space_group_name_Hall '-C 2 2'
_cell_length_a 4.0160
_cell_length_b 26.2842
_cell_length_c 4.1610
_cell_angle_alpha 90.00
_cell_angle_beta 90.00
_cell_angle_gamma 90.00
loop_
_atom_site_label
_atom_site_fract_x
_atom_site_fract_y
_atom_site_fract_z
Nd1 0.0000 0.1825 0.0000
Gd1 0.0000 0.5000 0.5000
Ge1 0.0000 0.0000 0.0000
Ge2 0.0000 0.0912 0.5000
Ge3 0.0000 0.2804 0.5000
Ge4 0.0000 0.4112 0.0000
```

Output
Uncorrected energy (eV/atom): -5.198
Theoretical density (g cm⁻³): 7.2

No. 6
Material: NdGdNi2Ge4
Method: DFT, GGA-PBE
State: optimized geometry

Cell and atoms, written as CIF:
```
data_NdGdNi2Ge4
_chemical_formula_sum 'Nd2 Gd2 Ni4 Ge8'
_space_group_name_H-M_alt 'A m m 2'
_space_group_IT_number 38
_cell_length_a 4.2258
_cell_length_b 4.2128
_cell_length_c 16.6841
_cell_angle_alpha 90.00
_cell_angle_beta 90.00
_cell_angle_gamma 90.00
loop_
_space_group_symop_operation_xyz
'x,y,z'
'-x,-y,z'
'-x,y,z'
'x,-y,z'
'x,y+1/2,z+1/2'
'-x,-y+1/2,z+1/2'
'-x,y+1/2,z+1/2'
'x,-y+1/2,z+1/2'
loop_
_atom_site_label
_atom_site_fract_x
_atom_site_fract_y
_atom_site_fract_z
Nd1 0.0000 0.0000 0.0000
Gd1 0.5000 0.0000 0.7844
Ni1 0.0000 0.0000 0.2108
Ni2 0.5000 0.0000 0.5740
Ge1 0.0000 0.0000 0.3498
Ge2 0.0000 0.0000 0.6419
Ge3 0.5000 0.0000 0.1431
Ge4 0.5000 0.0000 0.4343
```

Output
Uncorrected energy (eV/atom): -5.616
Theoretical density (g cm⁻³): 7.9

no.,spin magnetization (μB per formula unit)
1,1.2
2,1.1
3,1.2
4,0.0
5,0.0
6,0.0